1.
Density functional theory data (PBE) for a geometry-optimized Sm12Tm7Mg structure.

## Properties
Formation enthalpy at 0 K ... 0.08 eV/atom
V ... 32.230 Å³ per atom
N(E_F) ... 1.632 states/eV/atom

a b c (Å): 8.755 8.755 8.755
angles (deg): 98.80 98.80 98.80
Fractional coordinates of all 20 atoms:
1 Sm 0.000 0.261 0.739
2 Sm 0.000 0.739 0.261
3 Sm 0.147 0.413 0.148
4 Sm 0.148 0.147 0.413
5 Sm 0.261 0.000 0.739
6 Sm 0.261 0.739 0.000
7 Sm 0.413 0.148 0.147
8 Sm 0.587 0.852 0.853
9 Sm 0.739 0.000 0.261
10 Sm 0.739 0.261 0.000
11 Sm 0.852 0.853 0.587
12 Sm 0.853 0.587 0.852
13 Tm 0.000 0.000 0.000
14 Tm 0.167 0.593 0.593
15 Tm 0.407 0.407 0.833
16 Tm 0.407 0.833 0.407
17 Tm 0.593 0.167 0.593
18 Tm 0.593 0.593 0.167
19 Tm 0.833 0.407 0.407
20 Mg 0.500 0.500 0.500

***

2.
Density functional theory data (PBE) for a geometry-optimized TbSm14Tm structure.

## Properties
Formation enthalpy at 0 K ... 0.02 eV/atom
V ... 33.397 Å³ per atom
N(E_F) ... 1.453 states/eV/atom

a b c (Å): 7.238 7.238 10.201
angles (deg): 90.00 90.00 90.00
Fractional coordinates of all 16 atoms:
1 Tb 0.000 0.000 0.000
2 Sm 0.000 0.000 0.500
3 Sm 0.000 0.500 0.000
4 Sm 0.000 0.500 0.500
5 Sm 0.250 0.250 0.248
6 Sm 0.250 0.250 0.752
7 Sm 0.250 0.750 0.248
8 Sm 0.250 0.750 0.752
9 Sm 0.500 0.000 0.000
10 Sm 0.500 0.000 0.500
11 Sm 0.500 0.500 0.500
12 Sm 0.750 0.250 0.248
13 Sm 0.750 0.250 0.752
14 Sm 0.750 0.750 0.248
15 Sm 0.750 0.750 0.752
16 Tm 0.500 0.500 0.000

***

3.
Density functional theory data (PBE) for a geometry-optimized Pr5Sm3Sc2 structure.

## Properties
Formation enthalpy at 0 K ... 0.04 eV/atom
V ... 32.907 Å³ per atom
N(E_F) ... 1.457 states/eV/atom

a b c (Å): 9.504 9.507 9.524
angles (deg): 106.46 106.87 115.15
Fractional coordinates of all 20 atoms:
1 Pr 0.020 0.075 0.344
2 Pr 0.131 0.381 0.751
3 Pr 0.230 0.677 0.155
4 Pr 0.380 0.129 0.249
5 Pr 0.474 0.428 0.652
6 Pr 0.526 0.572 0.348
7 Pr 0.620 0.871 0.751
8 Pr 0.770 0.323 0.845
9 Pr 0.869 0.619 0.249
10 Pr 0.980 0.925 0.656
11 Sm 0.079 0.230 0.053
12 Sm 0.276 0.822 0.848
13 Sm 0.322 0.973 0.553
14 Sm 0.678 0.027 0.447
15 Sm 0.724 0.178 0.152
16 Sm 0.921 0.770 0.947
17 Sc 0.167 0.523 0.451
18 Sc 0.427 0.279 0.950
19 Sc 0.573 0.721 0.050
20 Sc 0.833 0.477 0.549

***

4.
Density functional theory data (PBE) for a geometry-optimized KBa2W2 structure.

## Properties
Formation enthalpy at 0 K ... 0.80 eV/atom
V ... 38.562 Å³ per atom
N(E_F) ... 0.850 states/eV/atom

a b c (Å): 13.855 13.855 13.855
angles (deg): 164.38 164.38 22.16
Fractional coordinates of all 5 atoms:
1 K 0.000 0.000 0.000
2 Ba 0.354 0.354 0.000
3 Ba 0.646 0.646 0.000
4 W 0.250 0.750 0.500
5 W 0.750 0.250 0.500

***

5.
Density functional theory data (PBE) for a geometry-optimized Pr6ZnCu2 structure.

## Properties
Formation enthalpy at 0 K ... -0.10 eV/atom
V ... 28.712 Å³ per atom
N(E_F) ... 1.223 states/eV/atom

a b c (Å): 8.760 8.760 8.760
angles (deg): 111.64 109.12 107.67
Fractional coordinates of all 18 atoms:
1 Pr 0.058 0.248 0.809
2 Pr 0.177 0.271 0.448
3 Pr 0.177 0.729 0.906
4 Pr 0.325 0.025 0.700
5 Pr 0.325 0.624 0.300
6 Pr 0.439 0.248 0.191
7 Pr 0.561 0.752 0.809
8 Pr 0.675 0.376 0.700
9 Pr 0.675 0.975 0.300
10 Pr 0.823 0.271 0.094
11 Pr 0.823 0.729 0.552
12 Pr 0.942 0.752 0.191
13 Zn 0.000 0.000 0.000
14 Zn 0.500 0.500 0.000
15 Cu 0.119 0.619 0.500
16 Cu 0.351 0.000 0.351
17 Cu 0.649 0.000 0.649
18 Cu 0.881 0.381 0.500

***

6.
Density functional theory data (PBE) for a geometry-optimized NaAgPCl2 structure.

## Properties
V ... 28.505 Å³ per atom
E_form (uncorrected) ... 0.245 eV/atom

a b c (Å): 5.160 5.160 5.352
angles (deg): 90.00 90.00 90.00
Fractional coordinates of all 5 atoms:
1 Na 0.000 0.000 0.000
2 Ag 0.500 0.500 0.500
3 P 0.000 0.000 0.500
4 Cl 0.000 0.500 0.000
5 Cl 0.500 0.000 0.000

***

7.
Density functional theory data (PBE) for a geometry-optimized Hf3Zr structure.

## Properties
Formation enthalpy at 0 K ... 0.15 eV/atom
V ... 22.278 Å³ per atom
N(E_F) ... 1.738 states/eV/atom

a b c (Å): 5.014 5.014 5.014
angles (deg): 60.00 60.00 60.00
Fractional coordinates of all 4 atoms:
1 Hf 0.000 0.000 0.000
2 Hf 0.250 0.250 0.250
3 Hf 0.750 0.750 0.750
4 Zr 0.500 0.500 0.500

***

8.
Density functional theory data (PBE) for a geometry-optimized LaBeP2Pd structure.

## Properties
Formation enthalpy at 0 K ... -0.82 eV/atom
V ... 17.267 Å³ per atom
N(E_F) ... 0.233 states/eV/atom

a b c (Å): 6.435 6.435 6.435
angles (deg): 145.21 145.21 50.03
Fractional coordinates of all 5 atoms:
1 La 0.000 0.000 0.000
2 Be 0.250 0.750 0.500
3 P 0.372 0.372 0.000
4 P 0.628 0.628 0.000
5 Pd 0.750 0.250 0.500

***

9.
Density functional theory data (PBE) for a geometry-optimized K2InTe structure.

## Properties
V ... 44.246 Å³ per atom
E_form (uncorrected) ... -0.383 eV/atom
N(E_F) ... 0.662 states/eV/atom

a b c (Å): 4.220 4.220 9.938
angles (deg): 90.00 90.00 90.00
Fractional coordinates of all 4 atoms:
1 K 0.000 0.000 0.000
2 K 0.500 0.500 0.407
3 In 0.500 0.500 0.766
4 Te 0.000 0.000 0.628

***

10.
Density functional theory data (PBE) for a geometry-optimized La2Pm4Cd structure.

## Properties
Formation enthalpy at 0 K ... 0.04 eV/atom
V ... 34.003 Å³ per atom
N(E_F) ... 1.291 states/eV/atom

a b c (Å): 8.800 8.800 8.740
angles (deg): 117.00 117.00 23.38
Fractional coordinates of all 7 atoms:
1 La 0.218 0.218 0.142
2 La 0.782 0.782 0.858
3 Pm 0.079 0.079 0.702
4 Pm 0.374 0.374 0.613
5 Pm 0.626 0.626 0.387
6 Pm 0.921 0.921 0.298
7 Cd 0.000 0.000 0.000

***

Repeat the sixth record exactly.
Density functional theory data (PBE) for a geometry-optimized NaAgPCl2 structure.

## Properties
V ... 28.505 Å³ per atom
E_form (uncorrected) ... 0.245 eV/atom

a b c (Å): 5.160 5.160 5.352
angles (deg): 90.00 90.00 90.00
Fractional coordinates of all 5 atoms:
1 Na 0.000 0.000 0.000
2 Ag 0.500 0.500 0.500
3 P 0.000 0.000 0.500
4 Cl 0.000 0.500 0.000
5 Cl 0.500 0.000 0.000

***

Number 10 is which compound? La2Pm4Cd

***

What is the formula in the ninth record? K2InTe